Record 1
A geometry-optimized CoBTe2 structure. Source: Alexandria via LeMat-Bulk, functional PBE.

Geometry as extended XYZ:
```
12
Lattice="3.9284 0.0000 0.0000 -1.9642 3.4021 0.0000 0.0000 0.0000 20.3103" Properties=species:S:1:pos:R:3 pbc="T T T"
Co 0.0000 0.0000 0.0000
Co 0.0000 2.2681 13.5402
Co 1.9642 1.1340 6.7701
B 0.0000 0.0000 10.1551
B 0.0000 2.2681 3.3851
B 1.9642 1.1340 16.9252
Te 0.0000 0.0000 8.0760
Te 0.0000 0.0000 12.2343
Te 0.0000 2.2681 1.3059
Te 0.0000 2.2681 5.4642
Te 1.9642 1.1340 14.8461
Te 1.9642 1.1340 19.0044
```

Calculated values
Uncorrected formation energy, kJ per mole of atoms: 66.1
Electronic total energy, eV per atom: -4.33
Fermi-level density of states, states/eV per cell: 9.34

Record 2
A geometry-optimized CoB2Te structure. Source: Alexandria via LeMat-Bulk, functional PBE.

Geometry as extended XYZ:
```
8
Lattice="3.0411 0.0000 0.0000 0.0000 3.1028 0.0000 0.0000 0.0000 11.4273" Properties=species:S:1:pos:R:3 pbc="T T T"
Co 0.0000 0.0000 0.0000
Co 1.5206 1.5514 5.7137
B 0.0000 0.0000 4.9692
B 0.0000 1.5514 4.4062
B 1.5206 0.0000 10.1199
B 1.5206 1.5514 10.6829
Te 0.0000 1.5514 2.0460
Te 1.5206 0.0000 7.7597
```

Calculated values
Uncorrected formation energy, kJ per mole of atoms: 29.5
Electronic total energy, eV per atom: -5.59
Fermi-level density of states, states/eV per cell: 4.22

> Among the records above, which one has the highest electronic total energy?

CoBTe2

> Which of these has the lowest electronic total energy?

CoB2Te

> What is the formula in the second record?

CoB2Te

> The lowest uncorrected formation energy belongs to which entry?

CoB2Te